1.
Compound: SrTaO2
Source: the Alexandria database
Functional: PBE-GGA
Structure: relaxed

Summary:
Formation energy (no corrections)   -2.125 eV per atom
Distance to the lowest polymorph of the same formula   0 kJ/mol of formula units
D(E_F)   1.694 states/eV/f.u.
Space-group type   R-3m, No. 166
Volume   17.403 Å³ per atom

Cell lengths 6.8513, 6.8513, 6.8513 Å; angles 29.63, 29.63, 29.63 degrees
Element x y z (fractional)
Ta 0.0000 0.0000 0.0000
O 0.9027 0.9027 0.9027
O 0.0973 0.0973 0.0973
Sr 0.5000 0.5000 0.5000

2.
Compound: LiCaMo
Source: the Alexandria database
Functional: PBE-GGA
Structure: relaxed

Summary:
Energy of formation from the pure elements   217 kJ/mol of formula units
Distance to the lowest polymorph of the same formula   30 kJ/mol of formula units
D(E_F)   3.525 states/eV/f.u.
Space-group type   P3m1, No. 156
Volume   20.719 Å³ per atom

Cell lengths 2.9976, 2.9976, 7.9876 Å; angles 90.00, 90.00, 120.00 degrees
Element x y z (fractional)
Li 0.3333 0.6667 0.3621
Ca 0.0000 0.0000 0.9792
Mo 0.6667 0.3333 0.6587

3.
Compound: SnPb2Au2
Source: the Alexandria database
Functional: PBE-GGA
Structure: relaxed

Summary:
Energy of formation from the pure elements   -29 kJ/mol of formula units
Distance to the lowest polymorph of the same formula   11 kJ/mol of formula units
D(E_F)   1.631 states/eV/f.u.
Space-group type   P4/mbm, No. 127
Volume   25.610 Å³ per atom

Cell lengths 7.4838, 7.4838, 4.5726 Å; angles 90.00, 90.00, 90.00 degrees
Element x y z (fractional)
Au 0.6355 0.1355 0.0000
Au 0.8645 0.6355 0.0000
Au 0.1355 0.3645 0.0000
Au 0.3645 0.8645 0.0000
Pb 0.1681 0.6681 0.5000
Pb 0.8319 0.3319 0.5000
Pb 0.3319 0.1681 0.5000
Pb 0.6681 0.8319 0.5000
Sn 0.0000 0.0000 0.0000
Sn 0.5000 0.5000 0.0000

4.
Compound: Er2LuMn
Source: the Alexandria database
Functional: PBE-GGA
Structure: relaxed

Summary:
Energy of formation from the pure elements   80 kJ/mol of formula units
Distance to the lowest polymorph of the same formula   35 kJ/mol of formula units
D(E_F)   4.062 states/eV/f.u.
Space-group type   P4/mmm, No. 123
Volume   25.692 Å³ per atom

Cell lengths 4.4071, 4.8289, 4.8289 Å; angles 90.00, 90.00, 90.00 degrees
Element x y z (fractional)
Lu 0.5000 0.5000 0.5000
Er 0.0000 0.5000 0.0000
Er 0.0000 0.0000 0.5000
Mn 0.5000 0.0000 0.0000

5.
Compound: IrOsCl
Source: the Alexandria database
Functional: PBE-GGA
Structure: relaxed

Summary:
Formation energy (no corrections)   1.068 eV per atom
Distance to the lowest polymorph of the same formula   120 kJ/mol of formula units
D(E_F)   1.611 states/eV/f.u.
Space-group type   F-43m, No. 216
Volume   17.804 Å³ per atom

Cell lengths 4.2272, 4.2272, 4.2272 Å; angles 60.00, 60.00, 60.00 degrees
Element x y z (fractional)
Cl 0.0000 0.0000 0.0000
Os 0.7500 0.7500 0.7500
Ir 0.5000 0.5000 0.5000

6.
Compound: Dy4Tm8Pu
Source: the Alexandria database
Functional: PBE-GGA
Structure: relaxed

Summary:
Energy of formation from the pure elements   655 kJ/mol of formula units
D(E_F)   18.778 states/eV/f.u.
Space-group type   R-3m, No. 166
Volume   34.309 Å³ per atom

Cell lengths 7.6404, 7.6404, 7.6404 Å; angles 90.10, 90.10, 90.10 degrees
Element x y z (fractional)
Tm 0.2445 0.7544 0.2445
Tm 0.7555 0.7555 0.2456
Tm 0.2456 0.7555 0.7555
Tm 0.2448 0.2448 0.2448
Tm 0.2445 0.2445 0.7544
Tm 0.7555 0.2456 0.7555
Tm 0.7544 0.2445 0.2445
Tm 0.7552 0.7552 0.7552
Dy 0.5000 0.5000 0.0000
Dy 0.0000 0.0000 0.0000
Dy 0.5000 0.0000 0.5000
Dy 0.0000 0.5000 0.5000
Pu 0.5000 0.5000 0.5000

7.
Compound: Ti6ReRu5
Source: the Alexandria database
Functional: PBE-GGA
Structure: relaxed

Summary:
Energy of formation from the pure elements   -828 kJ/mol of formula units
D(E_F)   4.030 states/eV/f.u.
Space-group type   Immm, No. 71
Volume   14.717 Å³ per atom

Cell lengths 4.3622, 6.1780, 7.5659 Å; angles 114.10, 106.76, 90.00 degrees
Element x y z (fractional)
Ti 0.8338 0.0833 0.6676
Ti 0.4999 0.2491 0.0000
Ti 0.8339 0.5843 0.6676
Ti 0.1661 0.4157 0.3324
Ti 0.1662 0.9167 0.3324
Ti 0.5001 0.7509 0.0000
Ru 0.0000 0.5000 0.0000
Ru 0.3324 0.8324 0.6648
Ru 0.6668 0.6668 0.3337
Ru 0.3332 0.3332 0.6663
Ru 0.6676 0.1676 0.3352
Re 0.0000 0.0000 0.0000

8.
Compound: Pr3GaS2
Source: the Alexandria database
Functional: PBE-GGA
Structure: relaxed

Summary:
Formation energy (no corrections)   -1.545 eV per atom
D(E_F)   1.479 states/eV/f.u.
Space-group type   Immm, No. 71
Volume   26.051 Å³ per atom

Cell lengths 4.1066, 5.9254, 7.3656 Å; angles 113.72, 106.18, 90.00 degrees
Element x y z (fractional)
Pr 0.8252 0.8252 0.6503
Pr 0.5000 0.5000 0.0000
Pr 0.1748 0.1748 0.3497
S 0.1654 0.6651 0.3301
S 0.8346 0.3349 0.6699
Ga 0.5000 0.0000 0.0000